1.
# Pm5Pt2Pb

A relaxed Pm5Pt2Pb crystal (PBE-GGA, the Alexandria database).

Computed properties:
E_form in eV per atom: -0.791
Uncorrected energy in eV per cell: -183.5

The structure in CIF format:
```
data_Pm5Pt2Pb
_space_group_name_H-M_alt 'I 4/m c m'
_space_group_IT_number 140
_space_group_name_Hall '-I 4 2c'
_cell_length_a 8.065
_cell_length_b 8.065
_cell_length_c 13.867
_cell_angle_alpha 90.00
_cell_angle_beta 90.00
_cell_angle_gamma 90.00
loop_
_atom_site_label
_atom_site_fract_x
_atom_site_fract_y
_atom_site_fract_z
Pm1 0.000 0.000 0.000
Pm2 0.159 0.341 0.137
Pt1 0.136 0.364 0.500
Pb1 0.000 0.000 0.250
```

***

2.
# Pm3PtPb2

A relaxed Pm3PtPb2 crystal (PBE-GGA, the Alexandria database).

Computed properties:
Excess energy over the best structure of this formula in the dataset in eV per atom: 0.113
E_form in eV per atom: -0.605
Uncorrected energy in eV per cell: -125.4

The structure in CIF format:
```
data_Pm3PtPb2
_space_group_name_H-M_alt 'C 1 2/c 1'
_space_group_IT_number 15
_space_group_name_Hall '-C 2yc'
_cell_length_a 14.874
_cell_length_b 6.443
_cell_length_c 7.568
_cell_angle_alpha 90.00
_cell_angle_beta 106.05
_cell_angle_gamma 90.00
loop_
_atom_site_label
_atom_site_fract_x
_atom_site_fract_y
_atom_site_fract_z
Pm1 0.000 0.147 0.250
Pm2 0.153 0.417 0.604
Pt1 0.000 0.382 0.750
Pb1 0.163 0.092 0.038
```

***

3.
# Pm3Pt8Pb

A relaxed Pm3Pt8Pb crystal (PBE-GGA, the Alexandria database).

Computed properties:
E_form in eV per atom: -0.912
Uncorrected energy in eV per cell: -231.7

The structure in CIF format:
```
data_Pm3Pt8Pb
_space_group_name_H-M_alt 'R 3 m'
_space_group_IT_number 160
_space_group_name_Hall 'R 3 -2"'
_cell_length_a 5.5056
_cell_length_b 5.5056
_cell_length_c 26.8804
_cell_angle_alpha 90.00
_cell_angle_beta 90.00
_cell_angle_gamma 120.00
loop_
_atom_site_label
_atom_site_fract_x
_atom_site_fract_y
_atom_site_fract_z
Pm1 0.0000 0.0000 0.0000
Pm2 0.0000 0.0000 0.1286
Pm3 0.0000 0.0000 0.5124
Pt1 0.0000 0.0000 0.3171
Pt2 0.0000 0.0000 0.8173
Pt3 0.0038 0.5019 0.0696
Pt4 0.1680 0.3360 0.8991
Pb1 0.0000 0.0000 0.6386
```

***

4.
# PmPt2Pb

A relaxed PmPt2Pb crystal (PBE-GGA, the Alexandria database).

Computed properties:
E_form in eV per atom: -0.651
Uncorrected energy in eV per cell: -23.1

The structure in CIF format:
```
data_PmPt2Pb
_space_group_name_H-M_alt 'P 4/m m m'
_space_group_IT_number 123
_space_group_name_Hall '-P 4 2'
_cell_length_a 3.604
_cell_length_b 3.604
_cell_length_c 6.866
_cell_angle_alpha 90.00
_cell_angle_beta 90.00
_cell_angle_gamma 90.00
loop_
_atom_site_label
_atom_site_fract_x
_atom_site_fract_y
_atom_site_fract_z
Pm1 0.000 0.000 0.000
Pt1 0.500 0.500 0.242
Pb1 0.000 0.000 0.500
```

***

5.
# Pm12Pt6Pb

A relaxed Pm12Pt6Pb crystal (PBE-GGA, the Alexandria database).

Computed properties:
Excess energy over the best structure of this formula in the dataset in eV per atom: 0.000
E_form in eV per atom: -0.793
Uncorrected energy in eV per cell: -224.1

The structure in CIF format:
```
data_Pm12Pt6Pb
_space_group_name_H-M_alt 'I m -3'
_space_group_IT_number 204
_space_group_name_Hall '-I 2 2 3'
_cell_length_a 10.303
_cell_length_b 10.303
_cell_length_c 10.303
_cell_angle_alpha 90.00
_cell_angle_beta 90.00
_cell_angle_gamma 90.00
loop_
_atom_site_label
_atom_site_fract_x
_atom_site_fract_y
_atom_site_fract_z
Pm1 0.000 0.181 0.304
Pt1 0.000 0.364 0.500
Pb1 0.000 0.000 0.000
```

***

6.
# Pm2PtPb

A relaxed Pm2PtPb crystal (PBE-GGA, the Alexandria database).

Computed properties:
E_form in eV per atom: -0.027
Uncorrected energy in eV per cell: -58.1

The structure in CIF format:
```
data_Pm2PtPb
_space_group_name_H-M_alt 'R -3 m'
_space_group_IT_number 166
_space_group_name_Hall '-R 3 2"'
_cell_length_a 3.3890
_cell_length_b 3.3890
_cell_length_c 33.3217
_cell_angle_alpha 90.00
_cell_angle_beta 90.00
_cell_angle_gamma 120.00
loop_
_atom_site_label
_atom_site_fract_x
_atom_site_fract_y
_atom_site_fract_z
Pm1 0.0000 0.0000 0.0814
Pt1 0.0000 0.0000 0.0000
Pb1 0.0000 0.0000 0.5000
```

***

7.
# PmPtPb

A relaxed PmPtPb crystal (PBE-GGA, the Alexandria database).

Computed properties:
Excess energy over the best structure of this formula in the dataset in eV per atom: 0.179
E_form in eV per atom: -0.644
Uncorrected energy in eV per cell: -65.7

The structure in CIF format:
```
data_PmPtPb
_space_group_name_H-M_alt 'I 4/m m m'
_space_group_IT_number 139
_space_group_name_Hall '-I 4 2'
_cell_length_a 4.665
_cell_length_b 4.665
_cell_length_c 14.267
_cell_angle_alpha 90.00
_cell_angle_beta 90.00
_cell_angle_gamma 90.00
loop_
_atom_site_label
_atom_site_fract_x
_atom_site_fract_y
_atom_site_fract_z
Pm1 0.000 0.000 0.140
Pt1 0.000 0.500 0.000
Pb1 0.000 0.000 0.374
```

***

8.
# Pm2Pt15Pb2

A relaxed Pm2Pt15Pb2 crystal (PBE-GGA, the Alexandria database).

Computed properties:
E_form in eV per atom: -0.438
Uncorrected energy in eV per cell: -347.6

The structure in CIF format:
```
data_Pm2Pt15Pb2
_space_group_name_H-M_alt 'R -3 m'
_space_group_IT_number 166
_space_group_name_Hall '-R 3 2"'
_cell_length_a 9.5177
_cell_length_b 9.5177
_cell_length_c 13.5157
_cell_angle_alpha 90.00
_cell_angle_beta 90.00
_cell_angle_gamma 120.00
loop_
_atom_site_label
_atom_site_fract_x
_atom_site_fract_y
_atom_site_fract_z
Pm1 0.0000 0.0000 0.1419
Pt1 0.0000 0.3325 0.5000
Pt2 0.0000 0.5000 0.0000
Pt3 0.0106 0.5053 0.6652
Pb1 0.0000 0.0000 0.3932
```

***

9.
# PmPtPb

A relaxed PmPtPb crystal (PBE-GGA, the Alexandria database).

Computed properties:
Excess energy over the best structure of this formula in the dataset in eV per atom: 0.000
E_form in eV per atom: -0.823
Uncorrected energy in eV per cell: -101.8

The structure in CIF format:
```
data_PmPtPb
_space_group_name_H-M_alt 'P m m a'
_space_group_IT_number 51
_space_group_name_Hall '-P 2a 2a'
_cell_length_a 14.176
_cell_length_b 3.949
_cell_length_c 7.922
_cell_angle_alpha 90.00
_cell_angle_beta 90.00
_cell_angle_gamma 90.00
loop_
_atom_site_label
_atom_site_fract_x
_atom_site_fract_y
_atom_site_fract_z
Pm1 0.052 0.000 0.217
Pm2 0.250 0.000 0.831
Pt1 0.092 0.500 0.926
Pt2 0.250 0.000 0.432
Pb1 0.117 0.500 0.559
Pb2 0.250 0.500 0.169
```

***

10.
# Pm8PtPb2

A relaxed Pm8PtPb2 crystal (PBE-GGA, the Alexandria database).

Computed properties:
E_form in eV per atom: -0.416
Uncorrected energy in eV per cell: -112.1

The structure in CIF format:
```
data_Pm8PtPb2
_space_group_name_H-M_alt 'C 1 2/m 1'
_space_group_IT_number 12
_space_group_name_Hall '-C 2y'
_cell_length_a 19.878
_cell_length_b 5.090
_cell_length_c 6.981
_cell_angle_alpha 90.00
_cell_angle_beta 104.18
_cell_angle_gamma 90.00
loop_
_atom_site_label
_atom_site_fract_x
_atom_site_fract_y
_atom_site_fract_z
Pm1 0.016 0.000 0.281
Pm2 0.091 0.500 0.971
Pm3 0.146 0.500 0.507
Pm4 0.216 0.000 0.828
Pt1 0.000 0.500 0.500
Pb1 0.182 0.000 0.264
```

***

11.
# PmPt10Pb

A relaxed PmPt10Pb crystal (PBE-GGA, the Alexandria database).

Computed properties:
E_form in eV per atom: -0.399
Uncorrected energy in eV per cell: -73.7

The structure in CIF format:
```
data_PmPt10Pb
_space_group_name_H-M_alt 'P m m m'
_space_group_IT_number 47
_space_group_name_Hall '-P 2 2'
_cell_length_a 4.440
_cell_length_b 5.439
_cell_length_c 9.339
_cell_angle_alpha 90.00
_cell_angle_beta 90.00
_cell_angle_gamma 90.00
loop_
_atom_site_label
_atom_site_fract_x
_atom_site_fract_y
_atom_site_fract_z
Pm1 0.000 0.000 0.000
Pt1 0.000 0.000 0.335
Pt2 0.000 0.500 0.168
Pt3 0.500 0.000 0.500
Pt4 0.500 0.247 0.245
Pt5 0.500 0.500 0.000
Pb1 0.000 0.500 0.500
```